This record from the Alexandria database describes an optimized crystal structure of PuThIrSe. The functional is PBE-GGA.

As for the total energy: -9.54 eV per atom. Its crystal system is trigonal. The density of states at the Fermi level comes out at 3.02 states/eV per atom. Its raw formation energy is -1.011 eV/atom.

The structure belongs to space group R3m (No. 160, hexagonal axes); the cell edges are 4.0208, 4.0208 and 22.3474 Å and the angles 90.00°, 90.00° and 120.00°. The distinct sites, in fractional coordinates, are Pu at (0.0000, 0.0000, 0.0000), Th at (0.0000, 0.0000, 0.1869), Ir at (0.0000, 0.0000, 0.5943) and Se at (0.0000, 0.0000, 0.4239).

This record from the Alexandria database describes an optimized crystal structure of Tl4VTe4. The functional is PBE-GGA.

As for the total energy: -3.72 eV per atom. Its crystal system is tetragonal. The density of states at the Fermi level comes out at 0.35 states/eV per atom. Its raw formation energy is -0.256 eV/atom.

The structure belongs to space group P4_2/nmc (No. 137, origin choice 2); the cell edges are 9.733, 9.733 and 7.009 Å and the angles 90.00°, 90.00° and 90.00°. The distinct sites, in fractional coordinates, are Tl at (0.028, 0.250, 0.068), V at (0.250, 0.750, 0.250) and Te at (0.032, 0.750, 0.457).

This record from the Alexandria database describes an optimized crystal structure of CaY2Ni. The functional is PBE-GGA.

As for the total energy: -4.93 eV per atom. The formation enthalpy at 0 K comes out at 0.250 eV/atom. Its crystal system is tetragonal. The density of states at the Fermi level comes out at 1.28 states/eV per atom. The energy relative to the lowest polymorph listed for this composition comes out at 0.388 eV/atom.

The structure belongs to space group I-4m2 (No. 119); the cell edges are 4.435, 4.435 and 10.563 Å and the angles 90.00°, 90.00° and 90.00°. The distinct sites, in fractional coordinates, are Ca at (0.000, 0.000, 0.000), Y at (0.000, 0.000, 0.500), Y at (0.000, 0.500, 0.250) and Ni at (0.000, 0.500, 0.750).

This record from the Alexandria database describes an optimized crystal structure of Ba2In3Hg6. The functional is PBE-GGA.

As for the total energy: -1.51 eV per atom. The formation enthalpy at 0 K comes out at -0.244 eV/atom. Its crystal system is orthorhombic. The density of states at the Fermi level comes out at 0.54 states/eV per atom. The energy relative to the lowest polymorph listed for this composition comes out at 0.039 eV/atom.

The structure belongs to space group Cmmm (No. 65); the cell edges are 10.479, 14.545 and 4.527 Å and the angles 90.00°, 90.00° and 90.00°. The distinct sites, in fractional coordinates, are Ba at (0.211, 0.000, 0.000), In at (0.000, 0.260, 0.000), In at (0.000, 0.500, 0.500), Hg at (0.000, 0.120, 0.500) and Hg at (0.179, 0.336, 0.500).

This record from the Alexandria database describes an optimized crystal structure of Cs3AcPu2S6. The functional is PBE-GGA.

As for the total energy: -6.64 eV per atom. Its crystal system is monoclinic. The density of states at the Fermi level comes out at 1.77 states/eV per atom. Its raw formation energy is -1.631 eV/atom.

The structure belongs to space group C2/m (No. 12); the cell edges are 7.414, 12.838 and 8.441 Å and the angles 90.00°, 107.04° and 90.00°. The distinct sites, in fractional coordinates, are Cs at (0.000, 0.000, 0.000), Cs at (0.000, 0.335, 0.000), Ac at (0.000, 0.500, 0.500), Pu at (0.000, 0.167, 0.500), S at (0.210, 0.000, 0.683) and S at (0.237, 0.324, 0.684).

This record from the Alexandria database describes an optimized crystal structure of LaPrSbN. The functional is PBE-GGA.

As for the total energy: -6.82 eV per atom. Its crystal system is tetragonal. The density of states at the Fermi level comes out at 0.10 states/eV per atom. Its raw formation energy is -1.280 eV/atom.

The structure belongs to space group P4/nmm (No. 129, origin choice 2); the cell edges are 4.760, 4.760 and 9.399 Å and the angles 90.00°, 90.00° and 90.00°. The distinct sites, in fractional coordinates, are La at (0.250, 0.750, 0.000), Pr at (0.250, 0.250, 0.333), Sb at (0.250, 0.250, 0.696) and N at (0.250, 0.250, 0.087).

This record from the Alexandria database describes an optimized crystal structure of PaAlSn2. The functional is PBE-GGA.

As for the total energy: -5.59 eV per atom. The formation enthalpy at 0 K comes out at -0.282 eV/atom. Its crystal system is tetragonal. The density of states at the Fermi level comes out at 1.05 states/eV per atom. The energy relative to the lowest polymorph listed for this composition comes out at 0.000 eV/atom.

The structure belongs to space group P4/mmm (No. 123); the cell edges are 4.578, 4.578 and 4.458 Å and the angles 90.00°, 90.00° and 90.00°. The distinct sites, in fractional coordinates, are Pa at (0.000, 0.000, 0.000), Al at (0.500, 0.500, 0.000) and Sn at (0.000, 0.500, 0.500).

This record from the Alexandria database describes an optimized crystal structure of Ba3TaAs. The functional is PBE-GGA.

As for the total energy: -3.93 eV per atom. The formation enthalpy at 0 K comes out at 0.524 eV/atom. Its crystal system is cubic. The density of states at the Fermi level comes out at 0.39 states/eV per atom. The energy relative to the lowest polymorph listed for this composition comes out at 0.000 eV/atom.

The structure belongs to space group Pm-3m (No. 221); the cell edges are 6.283, 6.283 and 6.283 Å and the angles 90.00°, 90.00° and 90.00°. The distinct sites, in fractional coordinates, are Ba at (0.000, 0.000, 0.500), Ta at (0.500, 0.500, 0.500) and As at (0.000, 0.000, 0.000).

This record from the Alexandria database describes an optimized crystal structure of BeCd3Sb. The functional is PBE-GGA.

As for the total energy: -1.22 eV per atom. Its crystal system is cubic. The density of states at the Fermi level comes out at 0.34 states/eV per atom. The energy relative to the lowest polymorph listed for this composition comes out at 0.518 eV/atom. Its raw formation energy is 0.903 eV/atom.

The structure belongs to space group Pm-3m (No. 221); the cell edges are 5.633, 5.633 and 5.633 Å and the angles 90.00°, 90.00° and 90.00°. The distinct sites, in fractional coordinates, are Be at (0.000, 0.000, 0.000), Cd at (0.000, 0.500, 0.500) and Sb at (0.500, 0.500, 0.500).

This record from the Alexandria database describes an optimized crystal structure of BaNaAu. The functional is PBE-GGA.

As for the total energy: -2.61 eV per atom. The formation enthalpy at 0 K comes out at -0.434 eV/atom. Its crystal system is cubic. The density of states at the Fermi level comes out at 0.26 states/eV per atom. The energy relative to the lowest polymorph listed for this composition comes out at 0.038 eV/atom.

The structure belongs to space group F-43m (No. 216); the cell edges are 7.664, 7.664 and 7.664 Å and the angles 90.00°, 90.00° and 90.00°. The distinct sites, in fractional coordinates, are Ba at (0.000, 0.000, 0.000), Na at (0.000, 0.000, 0.500) and Au at (0.250, 0.250, 0.250).

This record from the Alexandria database describes an optimized crystal structure of HfTiNi2. The functional is PBE-GGA.

As for the total energy: -7.33 eV per atom. The formation enthalpy at 0 K comes out at 0.021 eV/atom. Its crystal system is tetragonal. The density of states at the Fermi level comes out at 1.35 states/eV per atom. The energy relative to the lowest polymorph listed for this composition comes out at 0.477 eV/atom.

The structure belongs to space group I-42d (No. 122); the cell edges are 6.811, 6.811 and 5.356 Å and the angles 90.00°, 90.00° and 90.00°. The distinct sites, in fractional coordinates, are Hf at (0.000, 0.000, 0.000), Ti at (0.000, 0.000, 0.500) and Ni at (0.232, 0.750, 0.625).

This record from the Alexandria database describes an optimized crystal structure of BaGa2Cu2. The functional is PBE-GGA.

As for the total energy: -3.14 eV per atom. The formation enthalpy at 0 K comes out at 0.096 eV/atom. Its crystal system is tetragonal. The density of states at the Fermi level comes out at 0.62 states/eV per atom.

The structure belongs to space group P4/mbm (No. 127); the cell edges are 8.136, 8.136 and 3.044 Å and the angles 90.00°, 90.00° and 90.00°. The distinct sites, in fractional coordinates, are Ba at (0.000, 0.000, 0.000), Ga at (0.123, 0.377, 0.000) and Cu at (0.153, 0.653, 0.500).

Table of volume (Å³/cell), in record order: 312.9, 664.0, 207.7, 690.0, 768.1, 213.0, 93.4, 248.0, 178.8, 450.2, 248.5, 201.5